No. 1
## ScNi3H3 (PBE-GGA)

Data for ScNi3H3 after structural relaxation.

a = 4.9247 Å, b = 4.9247 Å, c = 4.9247 Å
α = 90.00°, β = 90.00°, γ = 90.00°
Space group Pm-3n (No. 223)
Inequivalent atoms, fractional coordinates:
Sc 0.0000 0.0000 0.0000 [2 per cell]
Ni 0.0000 0.2500 0.5000 [6 per cell]
H 0.0000 0.5000 0.2500 [6 per cell]

Output
The total energy is -5.15 eV/atom.

No. 2
## ScNiH3 (PBE-GGA)

Data for ScNiH3 after structural relaxation.

a = 4.3785 Å, b = 3.5622 Å, c = 5.5690 Å
α = 90.00°, β = 108.69°, γ = 90.00°
Space group Pm (No. 6)
Inequivalent atoms, fractional coordinates:
Sc 0.0000 0.0000 0.0000 [1 per cell]
Sc 0.3497 0.5000 0.5658 [1 per cell]
Ni 0.5213 0.5000 0.1026 [1 per cell]
Ni 0.7869 0.0000 0.4288 [1 per cell]
H 0.1373 0.0000 0.4066 [1 per cell]
H 0.1823 0.5000 0.8866 [1 per cell]
H 0.5398 0.0000 0.1216 [1 per cell]
H 0.6334 0.0000 0.6534 [1 per cell]
H 0.7324 0.5000 0.9116 [1 per cell]
H 0.7659 0.5000 0.4120 [1 per cell]

Output
The total energy is -4.89 eV/atom.